{
  "formula": "LiNdSm2Se4",
  "functional": "PBE-GGA",
  "state": "relaxed",
  "spacegroup": "P2/m",
  "final_energy_ev_per_atom": -5.520,
  "formation_energy_uncorrected_mev_per_atom": -1763,
  "lattice_angstrom": [[7.2008, 0.0000, 0.0000], [0.0000, 4.1512, 0.0000], [-2.3854, 0.0000, 6.7943]],
  "species": ["Li", "Nd", "Sm", "Sm", "Se", "Se", "Se", "Se"],
  "frac_coords": [[0.0000, 0.0000, 0.0000], [0.0000, 0.5000, 0.5000], [0.5000, 0.0000, 0.5000], [0.5000, 0.5000, 0.0000], [0.2441, 0.5000, 0.2411], [0.2474, 0.0000, 0.7588], [0.7526, 0.0000, 0.2412], [0.7559, 0.5000, 0.7589]]
}